(1)
First-principles (PBE) data for a geometry-optimized HfMn2GeH structure, as listed in the Alexandria database.

abc: 3.8799 3.8799 4.0487
angles: 90.00 90.00 90.00
Last column: magnetic moment on the atom in μB.
Element x y z (fractional)
H  0.0000  0.0000  0.0000  -0.01
Ge  0.5000  0.5000  0.5000  -0.07
Mn  0.0000  0.5000  0.0000  1.97
Mn  0.5000  0.0000  0.0000  1.97
Hf  0.0000  0.0000  0.5000  -0.27

Values from the calculation:
Its volume is 60.95 Å³ per cell. The space group is No. 123.

(2)
First-principles (PBE) data for a geometry-optimized Hf2NbGeH structure, as listed in the Alexandria database.

abc: 4.4967 4.4967 3.8390
angles: 90.00 90.00 90.00
Element x y z (fractional)
H  0.0000  0.0000  0.0000
Nb  0.0000  0.0000  0.5000
Hf  0.0000  0.5000  0.0000
Hf  0.5000  0.0000  0.0000
Ge  0.5000  0.5000  0.5000

Values from the calculation:
Its volume is 77.63 Å³ per cell. The space group is No. 123.

(3)
First-principles (PBE) data for a geometry-optimized HfNi2GeH structure, as listed in the Alexandria database.

abc: 3.8160 3.8160 4.1151
angles: 90.00 90.00 90.00
Element x y z (fractional)
Ni  0.0000  0.5000  0.0000
Ni  0.5000  0.0000  0.0000
Ge  0.5000  0.5000  0.5000
Hf  0.0000  0.0000  0.5000
H  0.0000  0.0000  0.0000

Values from the calculation:
Its volume is 59.93 Å³ per cell. The space group is No. 123.

(4)
First-principles (PBE) data for a geometry-optimized Hf2NiGeH structure, as listed in the Alexandria database.

abc: 4.3167 4.3167 3.7531
angles: 90.00 90.00 90.00
Element x y z (fractional)
Ni  0.0000  0.0000  0.5000
Ge  0.5000  0.5000  0.5000
Hf  0.0000  0.5000  0.0000
Hf  0.5000  0.0000  0.0000
H  0.0000  0.0000  0.0000

Values from the calculation:
Its volume is 69.93 Å³ per cell. The space group is No. 123.

(5)
First-principles (PBE) data for a geometry-optimized Hf2Ni5Ge3H2 structure, as listed in the Alexandria database.

abc: 3.7399 3.7399 10.5838
angles: 100.18 100.18 90.00
Element x y z (fractional)
Hf  0.6975  0.6975  0.3949
Hf  0.3025  0.3025  0.6051
Ni  0.5871  0.0871  0.1742
Ni  0.4129  0.9129  0.8258
Ni  0.0871  0.5871  0.1742
Ni  0.9129  0.4129  0.8258
Ni  0.5000  0.5000  0.0000
Ge  0.1679  0.1679  0.3358
Ge  0.8321  0.8321  0.6642
Ge  0.0000  0.0000  0.0000
H  0.4162  0.4162  0.8325
H  0.5838  0.5838  0.1675

Values from the calculation:
Its volume is 143.34 Å³ per cell. The space group is No. 139.

(6)
First-principles (PBE) data for a geometry-optimized HfGeH2Os structure, as listed in the Alexandria database.

abc: 3.6672 4.8375 3.6672
angles: 90.00 90.00 90.00
Element x y z (fractional)
Hf  0.5000  0.5000  0.5000
Ge  0.0000  0.5000  0.0000
Os  0.0000  0.0000  0.0000
H  0.0000  0.0000  0.5000
H  0.5000  0.0000  0.0000

Values from the calculation:
Its volume is 65.06 Å³ per cell. The space group is No. 123.

(7)
First-principles (PBE) data for a geometry-optimized Hf2GeHPb structure, as listed in the Alexandria database.

abc: 5.0442 5.4393 5.0442
angles: 90.00 90.00 90.00
Element x y z (fractional)
Pb  0.0000  0.5000  0.0000
H  0.5000  0.5000  0.5000
Ge  0.0000  0.0000  0.0000
Hf  0.0000  0.0000  0.5000
Hf  0.5000  0.0000  0.0000

Values from the calculation:
Its volume is 138.40 Å³ per cell. The space group is No. 123.

(8)
First-principles (PBE) data for a geometry-optimized HfGeHPd2 structure, as listed in the Alexandria database.

abc: 3.9492 3.9492 4.4697
angles: 90.00 90.00 90.00
Element x y z (fractional)
H  0.0000  0.0000  0.0000
Ge  0.5000  0.5000  0.5000
Hf  0.0000  0.0000  0.5000
Pd  0.0000  0.5000  0.0000
Pd  0.5000  0.0000  0.0000

Values from the calculation:
Its volume is 69.71 Å³ per cell. The space group is No. 123.

Number 1: uncorrected energy -7.432 eV per atom, density 9.9 g cm⁻³. Number 2: uncorrected energy -7.932 eV per atom, density 11.2 g cm⁻³. Number 3: uncorrected energy -6.206 eV per atom, density 10.2 g cm⁻³. Number 4: uncorrected energy -7.133 eV per atom, density 11.6 g cm⁻³. Number 5: uncorrected energy -6.224 eV per atom, density 10.1 g cm⁻³. Number 6: uncorrected energy -6.218 eV per atom, density 11.3 g cm⁻³. Number 7: uncorrected energy -5.078 eV per atom, density 7.7 g cm⁻³. Number 8: uncorrected energy -6.091 eV per atom, density 11.1 g cm⁻³.